Computed, not measured: Ac2Zn4InSn3 after structural relaxation at the PBE level of DFT.

Its calculated formation energy is -3.90 eV/f.u. As for the calculated density: 7.92 g/cm3. For the volume, the calculation gives 24.88 Å³ per atom.

The structure belongs to space group P-4m2 (No. 115); the cell edges are 4.748, 4.748 and 11.035 Å and the angles 90.00°, 90.00° and 90.00°. The asymmetric unit holds Ac at (0.000, 0.500, 0.248), Zn at (0.000, 0.000, 0.000), Zn at (0.000, 0.500, 0.632), Zn at (0.500, 0.500, 0.000), In at (0.000, 0.000, 0.500), Sn at (0.000, 0.500, 0.871) and Sn at (0.500, 0.500, 0.500).

***

Computed, not measured: Sr2AcIn after structural relaxation at the PBE level of DFT.

Its calculated formation energy is -0.64 eV/f.u. As for the calculated density: 5.20 g/cm3. As for the energy above the lowest structure with this stoichiometry: 0.00 kcal/mol of atoms. For the volume, the calculation gives 41.32 Å³ per atom.

The structure belongs to space group P4/mmm (No. 123); the cell edges are 3.909, 3.909 and 10.817 Å and the angles 90.00°, 90.00° and 90.00°. The asymmetric unit holds Sr at (0.000, 0.000, 0.203), Ac at (0.500, 0.500, 0.500) and In at (0.500, 0.500, 0.000).

***

Computed, not measured: Sr5AcIn4 after structural relaxation at the PBE level of DFT.

Its calculated formation energy is -3.14 eV/f.u. As for the calculated density: 5.07 g/cm3. For the volume, the calculation gives 36.84 Å³ per atom.

The structure belongs to space group P4/mmm (No. 123); the cell edges are 4.040, 4.040 and 22.567 Å and the angles 90.00°, 90.00° and 90.00°. The asymmetric unit holds Sr at (0.000, 0.000, 0.000), Sr at (0.000, 0.000, 0.182), Sr at (0.000, 0.000, 0.363), Ac at (0.500, 0.500, 0.500), In at (0.500, 0.500, 0.092) and In at (0.500, 0.500, 0.275).

***

Computed, not measured: SrAcIn3 after structural relaxation at the PBE level of DFT.

Its calculated formation energy is -1.98 eV/f.u. As for the calculated density: 6.72 g/cm3. As for the energy above the lowest structure with this stoichiometry: 0.97 kcal/mol of atoms. For the volume, the calculation gives 32.58 Å³ per atom.

The structure belongs to space group Cmcm (No. 63); the cell edges are 4.104, 31.079 and 5.108 Å and the angles 90.00°, 90.00° and 90.00°. The asymmetric unit holds Sr at (0.000, 0.073, 0.250), Ac at (0.000, 0.211, 0.750), In at (0.000, 0.328, 0.750), In at (0.000, 0.382, 0.250) and In at (0.000, 0.477, 0.250).

***

Computed, not measured: Sr3AcIn4 after structural relaxation at the PBE level of DFT.

Its calculated formation energy is -3.43 eV/f.u. As for the calculated density: 5.80 g/cm3. For the volume, the calculation gives 33.99 Å³ per atom.

The structure belongs to space group P4/mmm (No. 123); the cell edges are 4.062, 4.062 and 16.485 Å and the angles 90.00°, 90.00° and 90.00°. The asymmetric unit holds Sr at (0.000, 0.000, 0.000), Sr at (0.000, 0.000, 0.247), Ac at (0.000, 0.000, 0.500), In at (0.500, 0.500, 0.124) and In at (0.500, 0.500, 0.371).

***

Computed, not measured: Sr2Ac2In3 after structural relaxation at the PBE level of DFT.

Its calculated formation energy is -2.36 eV/f.u. As for the calculated density: 6.08 g/cm3. As for the energy above the lowest structure with this stoichiometry: 0.00 kcal/mol of atoms. For the volume, the calculation gives 38.00 Å³ per atom.

The structure belongs to space group Cmmm (No. 65); the cell edges are 4.070, 32.751 and 3.991 Å and the angles 90.00°, 90.00° and 90.00°. The asymmetric unit holds Sr at (0.000, 0.193, 0.000), Ac at (0.000, 0.066, 0.000), In at (0.000, 0.369, 0.500) and In at (0.000, 0.500, 0.500).

***

Computed, not measured: Sr2Ac3In2 after structural relaxation at the PBE level of DFT.

Its calculated formation energy is -1.58 eV/f.u. As for the calculated density: 6.41 g/cm3. For the volume, the calculation gives 40.19 Å³ per atom.

The structure belongs to space group C2/m (No. 12); the cell edges are 14.320, 4.123 and 9.671 Å and the angles 90.00°, 99.77° and 90.00°. The asymmetric unit holds Sr at (0.118, 0.000, 0.447), Ac at (0.000, 0.000, 0.000), Ac at (0.245, 0.500, 0.163) and In at (0.058, 0.500, 0.734).

***

Computed, not measured: Sr3AcIn2 after structural relaxation at the PBE level of DFT.

Its calculated formation energy is -1.89 eV/f.u. As for the calculated density: 5.12 g/cm3. For the volume, the calculation gives 38.85 Å³ per atom.

The structure belongs to space group Pmc2_1 (No. 26); the cell edges are 5.599, 10.548 and 7.895 Å and the angles 90.00°, 90.00° and 90.00°. The asymmetric unit holds Sr at (0.000, 0.061, 0.000), Sr at (0.000, 0.315, 0.362), Sr at (0.500, 0.177, 0.695), Ac at (0.500, 0.444, 0.055), In at (0.000, 0.365, 0.799) and In at (0.500, 0.145, 0.253).

***

Computed, not measured: SrAcIn after structural relaxation at the PBE level of DFT.

Its calculated formation energy is -1.00 eV/f.u. As for the calculated density: 6.34 g/cm3. As for the energy above the lowest structure with this stoichiometry: 0.00 kcal/mol of atoms. For the volume, the calculation gives 37.47 Å³ per atom.

The structure belongs to space group P6_3/mmc (No. 194); the cell edges are 5.8868, 5.8868 and 7.4889 Å and the angles 90.00°, 90.00° and 120.00°. The asymmetric unit holds Sr at (0.0000, 0.0000, 0.0000), Ac at (0.3333, 0.6667, 0.2500) and In at (0.3333, 0.6667, 0.7500).

***

Computed, not measured: SrAc5In3 after structural relaxation at the PBE level of DFT.

Its calculated formation energy is -2.60 eV/f.u. As for the calculated density: 7.71 g/cm3. For the volume, the calculation gives 37.51 Å³ per atom.

The structure belongs to space group P6_3/mcm (No. 193); the cell edges are 10.2128, 10.2128 and 7.4739 Å and the angles 90.00°, 90.00° and 120.00°. The asymmetric unit holds Sr at (0.0000, 0.0000, 0.0000), Ac at (0.0000, 0.3368, 0.2500), Ac at (0.3333, 0.6667, 0.0000) and In at (0.0000, 0.3291, 0.7500).

***

Computed, not measured: Sr2AcIn after structural relaxation at the PBE level of DFT.

Its calculated formation energy is 0.64 eV/f.u. As for the calculated density: 4.63 g/cm3. As for the energy above the lowest structure with this stoichiometry: 7.33 kcal/mol of atoms. For the volume, the calculation gives 46.39 Å³ per atom.

The structure belongs to space group R-3m (No. 166, hexagonal axes); the cell edges are 3.9637, 3.9637 and 40.9128 Å and the angles 90.00°, 90.00° and 120.00°. The asymmetric unit holds Sr at (0.0000, 0.0000, 0.0841), Ac at (0.0000, 0.0000, 0.5000) and In at (0.0000, 0.0000, 0.0000).

***

Computed, not measured: SrAcIn3 after structural relaxation at the PBE level of DFT.

Its calculated formation energy is -2.19 eV/f.u. As for the calculated density: 6.67 g/cm3. As for the energy above the lowest structure with this stoichiometry: 0.00 kcal/mol of atoms. For the volume, the calculation gives 32.80 Å³ per atom.

The structure belongs to space group Cmcm (No. 63); the cell edges are 4.249, 30.682 and 5.032 Å and the angles 90.00°, 90.00° and 90.00°. The asymmetric unit holds Sr at (0.000, 0.208, 0.250), Ac at (0.000, 0.072, 0.750), In at (0.000, 0.326, 0.250), In at (0.000, 0.381, 0.750) and In at (0.000, 0.476, 0.750).

***

> The lowest calculated formation energy belongs to which entry?

Ac2Zn4InSn3

***

> Look up the calculated density of the eighth one.

5.12 g/cm3

***

> Look up the calculated density of the eighth one.

5.12 g/cm3

***

What did the third record say?
Computed, not measured: Sr5AcIn4 after structural relaxation at the PBE level of DFT.

Its calculated formation energy is -3.14 eV/f.u. As for the calculated density: 5.07 g/cm3. For the volume, the calculation gives 36.84 Å³ per atom.

The structure belongs to space group P4/mmm (No. 123); the cell edges are 4.040, 4.040 and 22.567 Å and the angles 90.00°, 90.00° and 90.00°. The asymmetric unit holds Sr at (0.000, 0.000, 0.000), Sr at (0.000, 0.000, 0.182), Sr at (0.000, 0.000, 0.363), Ac at (0.500, 0.500, 0.500), In at (0.500, 0.500, 0.092) and In at (0.500, 0.500, 0.275).